# PBEsol ReRh2, optimized geometry
data_ReRh2
_chemical_formula_sum 'Re4 Rh8'
_cell_length_a 4.671
_cell_length_b 4.321
_cell_length_c 8.156
_cell_angle_alpha 90.00
_cell_angle_beta 90.00
_cell_angle_gamma 90.00
_symmetry_space_group_name_H-M 'P n m a'
_symmetry_Int_Tables_number 62
_symmetry_space_group_name_Hall '-P 2ac 2n'
loop_
_atom_site_label
_atom_site_fract_x
_atom_site_fract_y
_atom_site_fract_z
_atom_site_occupancy
Re1 0.175 0.250 0.166 1
Rh1 0.163 0.250 0.834 1
Rh2 0.171 0.250 0.498 1
# **Crystal system**: orthorhombic
# **Offset from the most stable computed form**: 32 meV per atom
# **Energy**: -120.36 eV/cell


# PBEsol ReRh2, optimized geometry
data_ReRh2
_chemical_formula_sum 'Re8 Rh16'
_cell_length_a 3.833
_cell_length_b 3.833
_cell_length_c 22.552
_cell_angle_alpha 90.00
_cell_angle_beta 90.00
_cell_angle_gamma 90.00
_symmetry_space_group_name_H-M 'I 41/a m d'
_symmetry_Int_Tables_number 141
loop_
_symmetry_equiv_pos_as_xyz
'x,y,z'
'-x,-y,-z'
'-y+1/4,x+3/4,z+1/4'
'y+1/4,-x+3/4,-z+1/4'
'-x+1/2,-y,z+1/2'
'x+1/2,y,-z+1/2'
'y+1/4,-x+1/4,z+3/4'
'-y+1/4,x+1/4,-z+3/4'
'x,-y,-z'
'-x,y,z'
'-y+1/4,-x+1/4,-z+3/4'
'y+1/4,x+1/4,z+3/4'
'-x+1/2,y,-z+1/2'
'x+1/2,-y,z+1/2'
'y+1/4,x+3/4,-z+1/4'
'-y+1/4,-x+3/4,z+1/4'
'x+1/2,y+1/2,z+1/2'
'-x+1/2,-y+1/2,-z+1/2'
'-y+3/4,x+1/4,z+3/4'
'y+3/4,-x+1/4,-z+3/4'
'-x,-y+1/2,z'
'x,y+1/2,-z'
'y+3/4,-x+3/4,z+1/4'
'-y+3/4,x+3/4,-z+1/4'
'x+1/2,-y+1/2,-z+1/2'
'-x+1/2,y+1/2,z+1/2'
'-y+3/4,-x+3/4,-z+1/4'
'y+3/4,x+3/4,z+1/4'
'-x,y+1/2,-z'
'x,-y+1/2,z'
'y+3/4,x+1/4,-z+3/4'
'-y+3/4,-x+1/4,z+3/4'
loop_
_atom_site_label
_atom_site_fract_x
_atom_site_fract_y
_atom_site_fract_z
_atom_site_occupancy
Re1 0.000 0.250 0.289 1
Rh1 0.000 0.250 0.123 1
Rh2 0.000 0.250 0.791 1
# **Crystal system**: tetragonal
# **Offset from the most stable computed form**: 95 meV per atom
# **Energy**: -239.23 eV/cell


# PBEsol Re5Rh3, optimized geometry
data_Re5Rh3
_chemical_formula_sum 'Re10 Rh6'
_cell_length_a 5.450
_cell_length_b 8.698
_cell_length_c 4.749
_cell_angle_alpha 90.00
_cell_angle_beta 90.00
_cell_angle_gamma 90.00
_symmetry_space_group_name_H-M 'C m m 2'
_symmetry_Int_Tables_number 35
_symmetry_space_group_name_Hall 'C 2 -2'
loop_
_atom_site_label
_atom_site_fract_x
_atom_site_fract_y
_atom_site_fract_z
_atom_site_occupancy
Re1 0.000 0.000 0.000 1
Re2 0.248 0.000 0.504 1
Re3 0.250 0.250 0.833 1
Rh1 0.000 0.252 0.341 1
Rh2 0.000 0.500 0.004 1
# **Crystal system**: orthorhombic
# **Offset from the most stable computed form**: 3 meV per atom
# **Energy**: -184.64 eV/cell


Calculated spin magnetization (μB/cell), listed in the same order as above: 0.0, 0.0, 0.0